(1)
A relaxed Tc2PBr crystal, computed with GGA-PBE.

POSCAR file:
```
Tc2PBr
1.0
2.941 0.000 0.000
0.000 5.587 0.000
0.000 0.000 3.995
P Tc Br
1 2 1
Direct
0.000 0.500 0.500
0.500 0.500 0.000
0.000 0.000 0.000
0.500 0.000 0.500
```

Values from the calculation:
Volume = 65.6 Å³/cell
Energy above the most stable polymorph in this dataset = 0.857 eV per atom
Total energy = -24.6 eV/cell
Uncorrected formation energy = 77 kJ per mole of atoms

---

(2)
A relaxed RbLiO crystal, computed with GGA-PBE.

POSCAR file:
```
RbLiO
1.0
-0.305 3.059 -1.811
-0.132 -1.827 -3.063
-9.496 -0.522 0.711
Rb Li O
2 2 2
Direct
0.814 0.867 0.671
0.313 0.366 0.168
0.814 0.367 0.920
0.314 0.867 0.920
0.814 0.866 0.027
0.314 0.367 0.812
```

Values from the calculation:
Volume = 121.4 Å³/cell
Total energy = -23.8 eV/cell
Uncorrected formation energy = -130 kJ per mole of atoms

---

(3)
A relaxed Rb3NbS4 crystal, computed with GGA-PBE.

POSCAR file:
```
Rb3NbS4
1.0
-1.060 -6.617 7.038
-2.413 -6.805 -6.762
10.852 -2.829 -1.026
Nb S Rb
4 16 12
Direct
0.218 0.513 0.250
0.282 0.013 0.750
0.718 0.987 0.250
0.782 0.487 0.750
0.666 0.551 0.582
0.998 0.582 0.750
0.166 0.949 0.582
0.666 0.551 0.918
0.834 0.051 0.082
0.498 0.918 0.750
0.834 0.051 0.418
0.802 0.255 0.750
0.302 0.245 0.750
0.502 0.082 0.250
0.166 0.949 0.918
0.002 0.418 0.250
0.334 0.449 0.418
0.698 0.755 0.250
0.198 0.745 0.250
0.334 0.449 0.082
0.946 0.711 0.456
0.361 0.576 0.750
0.554 0.211 0.544
0.446 0.789 0.456
0.446 0.789 0.044
0.639 0.424 0.250
0.139 0.076 0.250
0.946 0.711 0.044
0.554 0.211 0.956
0.054 0.289 0.544
0.054 0.289 0.956
0.861 0.924 0.750
```

Values from the calculation:
Volume = 1082.6 Å³/cell
Total energy = -157.8 eV/cell
Uncorrected formation energy = -120 kJ per mole of atoms

---

(4)
A relaxed Sm2AgSe4 crystal, computed with GGA-PBE.

POSCAR file:
```
Sm2AgSe4
1.0
-2.995 2.848 5.919
-3.979 -4.277 0.045
5.796 -5.356 3.439
Se Sm Ag
8 4 2
Direct
0.551 0.488 0.283
0.046 0.750 0.874
0.449 0.988 0.717
0.449 0.512 0.717
0.551 0.012 0.283
0.954 0.250 0.126
0.082 0.750 0.400
0.918 0.250 0.600
0.193 0.250 0.885
0.756 0.750 0.570
0.244 0.250 0.430
0.807 0.750 0.115
0.731 0.250 0.855
0.269 0.750 0.145
```

Values from the calculation:
Volume = 355.9 Å³/cell
Total energy = -70.4 eV/cell
Uncorrected formation energy = -124 kJ per mole of atoms

---

(5)
A relaxed SmBeZnPt3 crystal, computed with GGA-PBE.

POSCAR file:
```
SmBeZnPt3
1.0
5.561 0.000 0.000
0.000 6.926 0.000
0.000 -3.463 5.746
Pt Be Sm Zn
6 2 2 2
Direct
0.000 0.300 0.000
0.500 0.300 0.000
0.250 0.197 0.395
0.750 0.803 0.605
0.000 0.700 0.000
0.500 0.700 0.000
0.750 0.610 0.221
0.250 0.390 0.779
0.250 0.705 0.410
0.750 0.295 0.590
0.250 0.973 0.946
0.750 0.027 0.054
```

Values from the calculation:
Volume = 221.3 Å³/cell
Total energy = -63.2 eV/cell
Energy of formation from the pure elements = -0.628 eV per atom

---

(6)
A relaxed Pm2Pr6Nd3 crystal, computed with GGA-PBE.

POSCAR file:
```
Pm2Pr6Nd3
1.0
4.851 0.000 0.000
0.000 4.851 0.000
-2.426 -2.426 17.307
Pm Pr Nd
2 6 3
Direct
0.544 0.544 0.089
0.456 0.456 0.911
0.620 0.120 0.239
0.880 0.380 0.761
0.120 0.620 0.239
0.706 0.706 0.411
0.380 0.880 0.761
0.294 0.294 0.589
0.195 0.195 0.390
0.805 0.805 0.610
0.000 0.000 0.000
```

Values from the calculation:
Volume = 407.3 Å³/cell
Energy above the most stable polymorph in this dataset = 0.248 eV per atom
Total energy = -49.6 eV/cell
Energy of formation from the pure elements = 0.258 eV per atom

---

(7)
A relaxed RbBe3Tc crystal, computed with GGA-PBE.

POSCAR file:
```
RbBe3Tc
1.0
-4.302 0.653 1.009
-1.185 -2.927 -3.159
0.199 -3.310 2.993
Be Rb Tc
3 1 1
Direct
0.000 0.500 0.000
0.500 0.000 0.000
0.000 0.000 0.500
0.000 0.000 0.000
0.500 0.500 0.500
```

Values from the calculation:
Volume = 89.1 Å³/cell
Energy above the most stable polymorph in this dataset = 1.943 eV per atom
Total energy = -8.0 eV/cell
Energy of formation from the pure elements = 2.912 eV per atom

---

(8)
A relaxed Ba4SrGa2 crystal, computed with GGA-PBE.

POSCAR file:
```
Ba4SrGa2
1.0
-0.647 -5.875 -0.171
0.160 -3.139 5.008
-11.105 -1.832 2.697
Ga Ba Sr
2 4 1
Direct
0.598 0.598 0.207
0.402 0.402 0.793
0.096 0.096 0.712
0.297 0.297 0.109
0.904 0.904 0.288
0.703 0.703 0.891
0.500 0.500 0.500
```

Values from the calculation:
Volume = 334.8 Å³/cell
Total energy = -16.2 eV/cell
Energy of formation from the pure elements = -0.112 eV per atom

---

(9)
A relaxed GdHfAgPd crystal, computed with GGA-PBE.

POSCAR file:
```
GdHfAgPd
1.0
4.929 0.000 0.000
2.465 4.269 0.000
2.465 1.423 4.025
Ag Pd Gd Hf
1 1 1 1
Direct
0.500 0.500 0.500
0.000 0.000 0.000
0.250 0.250 0.250
0.750 0.750 0.750
```

Values from the calculation:
Volume = 84.7 Å³/cell
Total energy = -33.3 eV/cell
Energy of formation from the pure elements = -0.314 eV per atom

---

(10)
A relaxed PuAlFeTc crystal, computed with GGA-PBE.

POSCAR file:
```
PuAlFeTc
1.0
-0.191 -1.404 -4.237
-1.067 -4.244 -0.901
-3.947 -0.966 -1.858
Fe Tc Pu Al
1 1 1 1
Direct
0.750 0.750 0.750
0.250 0.250 0.250
0.500 0.500 0.500
0.000 0.000 0.000
```

Values from the calculation:
Volume = 63.1 Å³/cell
Total energy = -37.6 eV/cell
Energy of formation from the pure elements = -0.186 eV per atom

---

(11)
A relaxed TbPmBr4 crystal, computed with GGA-PBE.

POSCAR file:
```
TbPmBr4
1.0
-3.555 1.169 1.224
-3.371 -4.995 -5.019
0.887 -3.422 5.843
Pm Br Tb
1 4 1
Direct
0.000 0.500 0.500
0.500 0.749 0.757
0.500 0.251 0.243
0.000 0.258 0.762
0.000 0.742 0.238
0.500 0.500 0.000
```

Values from the calculation:
Volume = 202.2 Å³/cell
Total energy = -25.8 eV/cell
Uncorrected formation energy = -157 kJ per mole of atoms

---

(12)
A relaxed LiMg6Pd12 crystal, computed with GGA-PBE.

POSCAR file:
```
LiMg6Pd12
1.0
-6.377 -0.043 2.172
-1.839 -2.218 -6.090
1.017 -6.282 2.212
Pd Mg Li
12 6 1
Direct
0.646 0.977 0.865
0.204 0.455 0.551
0.023 0.135 0.354
0.865 0.646 0.977
0.796 0.545 0.449
0.455 0.551 0.204
0.977 0.865 0.646
0.449 0.796 0.545
0.551 0.204 0.455
0.545 0.449 0.796
0.354 0.023 0.135
0.135 0.354 0.023
0.269 0.704 0.878
0.878 0.269 0.704
0.704 0.878 0.269
0.122 0.731 0.296
0.296 0.122 0.731
0.731 0.296 0.122
0.000 0.000 0.000
```

Values from the calculation:
Volume = 305.4 Å³/cell
Total energy = -82.5 eV/cell
Energy of formation from the pure elements = -0.456 eV per atom

---

Q: Which of these has the lowest total energy?
A: Rb3NbS4

---

Q: Among the records above, which one has the highest volume?
A: Rb3NbS4